1.
The following is a PBE calculation of a relaxed In2TeBr2 crystal, from the Alexandria database.

Summary:
- D(E_F): 3.03 states/eV/cell
- Theoretical density: 5.1 g cm⁻³
- DFT total energy: -27.505 eV/cell
- Formation energy without anion corrections: -0.358 eV per atom
- Space-group type: P4/mbm (127)
- Calculated volume: 33.35 A^3/atom

abc: 8.578 8.578 4.533
angles: 90.00 90.00 90.00
Fractional coordinates of all 10 atoms:
1 In 0.215 0.285 0.000
2 In 0.285 0.785 0.000
3 In 0.715 0.215 0.000
4 In 0.785 0.715 0.000
5 Te 0.000 0.000 0.000
6 Te 0.500 0.500 0.000
7 Br 0.138 0.638 0.500
8 Br 0.362 0.138 0.500
9 Br 0.638 0.862 0.500
10 Br 0.862 0.362 0.500


2.
The following is a PBE calculation of a relaxed InTeBr3 crystal, from the Alexandria database.

Summary:
- D(E_F): 1.11 states/eV/cell
- Theoretical density: 4.1 g cm⁻³
- DFT total energy: -12.360 eV/cell
- Formation energy without anion corrections: -0.292 eV per atom
- Space-group type: Pm-3m (221)
- Relative energy among the computed polymorphs: 0.000 eV/atom
- Calculated volume: 38.85 A^3/atom

abc: 5.791 5.791 5.791
angles: 90.00 90.00 90.00
Fractional coordinates of all 5 atoms:
1 In 0.000 0.000 0.000
2 Te 0.500 0.500 0.500
3 Br 0.000 0.500 0.500
4 Br 0.500 0.000 0.500
5 Br 0.500 0.500 0.000


3.
The following is a PBE calculation of a relaxed InTeBr2 crystal, from the Alexandria database.

Summary:
- D(E_F): 1.34 states/eV/cell
- Theoretical density: 4.6 g cm⁻³
- DFT total energy: -10.521 eV/cell
- Formation energy without anion corrections: -0.324 eV per atom
- Space-group type: Pm (6)
- Relative energy among the computed polymorphs: 0.142 eV/atom
- Calculated volume: 36.69 A^3/atom

abc: 4.847 6.080 5.254
angles: 90.00 108.62 90.00
Fractional coordinates of all 4 atoms:
1 In 0.000 0.000 0.000
2 Te 0.000 0.500 0.045
3 Br 0.361 0.000 0.658
4 Br 0.817 0.500 0.501


4.
The following is a PBE calculation of a relaxed InTe2Br crystal, from the Alexandria database.

Summary:
- D(E_F): 2.50 states/eV/cell
- Theoretical density: 5.6 g cm⁻³
- DFT total energy: -10.917 eV/cell
- Formation energy without anion corrections: -0.056 eV per atom
- Space-group type: Pmmm (47)
- Relative energy among the computed polymorphs: 0.268 eV/atom
- Calculated volume: 33.15 A^3/atom

abc: 3.070 6.032 7.162
angles: 90.00 90.00 90.00
Fractional coordinates of all 4 atoms:
1 In 0.000 0.000 0.000
2 Te 0.500 0.259 0.500
3 Te 0.500 0.741 0.500
4 Br 0.000 0.500 0.000


5.
The following is a PBE calculation of a relaxed InTe2Br crystal, from the Alexandria database.

Summary:
- D(E_F): 3.32 states/eV/cell
- Theoretical density: 5.2 g cm⁻³
- DFT total energy: -47.095 eV/cell
- Formation energy without anion corrections: -0.270 eV per atom
- Space-group type: Pnna (52)
- Relative energy among the computed polymorphs: 0.054 eV/atom
- Calculated volume: 36.08 A^3/atom

abc: 7.978 5.625 12.863
angles: 90.00 90.00 90.00
Fractional coordinates of all 16 atoms:
1 In 0.250 0.000 0.078
2 In 0.250 0.500 0.422
3 In 0.750 0.000 0.922
4 In 0.750 0.500 0.578
5 Te 0.053 0.175 0.567
6 Te 0.053 0.325 0.933
7 Te 0.447 0.675 0.933
8 Te 0.447 0.825 0.567
9 Te 0.553 0.175 0.433
10 Te 0.553 0.325 0.067
11 Te 0.947 0.675 0.067
12 Te 0.947 0.825 0.433
13 Br 0.099 0.250 0.250
14 Br 0.401 0.750 0.250
15 Br 0.599 0.250 0.750
16 Br 0.901 0.750 0.750


6.
The following is a PBE calculation of a relaxed InTeBr2 crystal, from the Alexandria database.

Summary:
- D(E_F): 2.80 states/eV/cell
- Theoretical density: 4.5 g cm⁻³
- DFT total energy: -44.350 eV/cell
- Formation energy without anion corrections: -0.465 eV per atom
- Space-group type: Pnna (52)
- Relative energy among the computed polymorphs: 0.000 eV/atom
- Calculated volume: 37.29 A^3/atom

abc: 7.434 5.741 13.979
angles: 90.00 90.00 90.00
Fractional coordinates of all 16 atoms:
1 In 0.250 0.000 0.063
2 In 0.250 0.500 0.437
3 In 0.750 0.000 0.937
4 In 0.750 0.500 0.563
5 Te 0.176 0.250 0.250
6 Te 0.324 0.750 0.250
7 Te 0.676 0.250 0.750
8 Te 0.824 0.750 0.750
9 Br 0.082 0.249 0.570
10 Br 0.082 0.251 0.930
11 Br 0.418 0.749 0.930
12 Br 0.418 0.751 0.570
13 Br 0.582 0.249 0.430
14 Br 0.582 0.251 0.070
15 Br 0.918 0.749 0.070
16 Br 0.918 0.751 0.430


7.
The following is a PBE calculation of a relaxed InTe2Br crystal, from the Alexandria database.

Summary:
- D(E_F): 2.36 states/eV/cell
- Theoretical density: 5.6 g cm⁻³
- DFT total energy: -11.504 eV/cell
- Formation energy without anion corrections: -0.202 eV per atom
- Space-group type: Immm (71)
- Relative energy among the computed polymorphs: 0.121 eV/atom
- Calculated volume: 33.40 A^3/atom

abc: 7.910 7.910 7.910
angles: 150.47 146.68 45.11
Fractional coordinates of all 4 atoms:
1 In 0.000 0.000 0.000
2 Te 0.227 0.727 0.500
3 Te 0.773 0.273 0.500
4 Br 0.500 0.500 0.000


8.
The following is a PBE calculation of a relaxed InTeBr2 crystal, from the Alexandria database.

Summary:
- D(E_F): 2.22 states/eV/cell
- Theoretical density: 5.0 g cm⁻³
- DFT total energy: -10.101 eV/cell
- Formation energy without anion corrections: -0.219 eV per atom
- Space-group type: R-3m (166)
- Relative energy among the computed polymorphs: 0.247 eV/atom
- Calculated volume: 33.46 A^3/atom

abc: 10.342 10.342 10.342
angles: 21.81 21.81 21.81
Fractional coordinates of all 4 atoms:
1 In 0.000 0.000 0.000
2 Te 0.500 0.500 0.500
3 Br 0.409 0.409 0.409
4 Br 0.591 0.591 0.591


9.
The following is a PBE calculation of a relaxed InTe2Br crystal, from the Alexandria database.

Summary:
- D(E_F): 0.90 states/eV/cell
- Theoretical density: 5.5 g cm⁻³
- DFT total energy: -11.989 eV/cell
- Formation energy without anion corrections: -0.324 eV per atom
- Space-group type: P2/m (10)
- Relative energy among the computed polymorphs: 0.000 eV/atom
- Calculated volume: 34.27 A^3/atom

abc: 5.735 4.268 5.819
angles: 90.00 105.76 90.00
Fractional coordinates of all 4 atoms:
1 In 0.000 0.000 0.000
2 Te 0.378 0.500 0.173
3 Te 0.622 0.500 0.827
4 Br 0.000 0.000 0.500


10.
The following is a PBE calculation of a relaxed InTe2Br crystal, from the Alexandria database.

Summary:
- D(E_F): 0.76 states/eV/cell
- Theoretical density: 5.0 g cm⁻³
- DFT total energy: -11.394 eV/cell
- Formation energy without anion corrections: -0.175 eV per atom
- Space-group type: Pm (6)
- Relative energy among the computed polymorphs: 0.149 eV/atom
- Calculated volume: 37.31 A^3/atom

abc: 3.803 4.720 8.314
angles: 90.00 91.21 90.00
Fractional coordinates of all 4 atoms:
1 In 0.000 0.000 0.000
2 Te 0.947 0.500 0.361
3 Te 0.955 0.000 0.540
4 Br 0.487 0.500 0.880


11.
The following is a PBE calculation of a relaxed InTe2Br crystal, from the Alexandria database.

Summary:
- D(E_F): 2.72 states/eV/cell
- Theoretical density: 6.7 g cm⁻³
- DFT total energy: -10.133 eV/cell
- Formation energy without anion corrections: 0.140 eV per atom
- Space-group type: P4/mmm (123)
- Relative energy among the computed polymorphs: 0.464 eV/atom
- Calculated volume: 27.95 A^3/atom

abc: 3.453 3.453 9.380
angles: 90.00 90.00 90.00
Fractional coordinates of all 4 atoms:
1 In 0.000 0.000 0.000
2 Te 0.500 0.500 0.247
3 Te 0.500 0.500 0.753
4 Br 0.000 0.000 0.500


12.
The following is a PBE calculation of a relaxed InTe2Br crystal, from the Alexandria database.

Summary:
- D(E_F): 3.48 states/eV/cell
- Theoretical density: 5.3 g cm⁻³
- DFT total energy: -11.453 eV/cell
- Formation energy without anion corrections: -0.190 eV per atom
- Space-group type: P4/mmm (123)
- Relative energy among the computed polymorphs: 0.134 eV/atom
- Calculated volume: 35.28 A^3/atom

abc: 4.336 4.336 7.508
angles: 90.00 90.00 90.00
Fractional coordinates of all 4 atoms:
1 In 0.000 0.000 0.000
2 Te 0.000 0.500 0.500
3 Te 0.500 0.000 0.500
4 Br 0.500 0.500 0.000


13.
The following is a PBE calculation of a relaxed InTeBr2 crystal, from the Alexandria database.

Summary:
- D(E_F): 4.14 states/eV/cell
- Theoretical density: 4.8 g cm⁻³
- DFT total energy: -10.158 eV/cell
- Formation energy without anion corrections: -0.233 eV per atom
- Space-group type: R3m (160)
- Relative energy among the computed polymorphs: 0.232 eV/atom
- Calculated volume: 34.85 A^3/atom

abc: 8.573 8.573 8.573
angles: 29.98 29.98 29.98
Fractional coordinates of all 4 atoms:
1 In 0.000 0.000 0.000
2 Te 0.722 0.722 0.722
3 Br 0.266 0.266 0.266
4 Br 0.468 0.468 0.468


14.
The following is a PBE calculation of a relaxed InTe2Br crystal, from the Alexandria database.

Summary:
- D(E_F): 2.33 states/eV/cell
- Theoretical density: 5.8 g cm⁻³
- DFT total energy: -10.920 eV/cell
- Formation energy without anion corrections: -0.056 eV per atom
- Space-group type: Cmmm (65)
- Relative energy among the computed polymorphs: 0.267 eV/atom
- Calculated volume: 32.46 A^3/atom

abc: 7.603 7.603 3.101
angles: 90.00 90.00 133.59
Fractional coordinates of all 4 atoms:
1 In 0.000 0.000 0.000
2 Te 0.000 0.500 0.500
3 Te 0.500 0.000 0.500
4 Br 0.500 0.500 0.000